No. 1
HgW3 | PBE | relaxed

Lattice parameters (Å, degrees): 3.377 3.377 6.096 90.00 90.00 90.00
Atoms (fractional coordinates):
Hg 0.000 0.000 0.000
W 0.000 0.000 0.500
W 0.500 0.500 0.281
W 0.500 0.500 0.719



No. 2
HgW2 | PBE | relaxed

Lattice parameters (Å, degrees): 5.809 4.272 8.640 90.00 90.00 90.00
Atoms (fractional coordinates):
Hg 0.127 0.250 0.084
Hg 0.373 0.750 0.584
Hg 0.627 0.250 0.416
Hg 0.873 0.750 0.916
W 0.074 0.250 0.714
W 0.128 0.250 0.414
W 0.372 0.750 0.914
W 0.426 0.750 0.214
W 0.574 0.250 0.786
W 0.628 0.250 0.086
W 0.872 0.750 0.586
W 0.926 0.750 0.286



No. 3
HgW2 | PBE | relaxed

Lattice parameters (Å, degrees): 3.634 3.634 4.703 90.00 90.00 90.00
Atoms (fractional coordinates):
Hg 0.000 0.000 0.000
W 0.000 0.500 0.500
W 0.500 0.000 0.500



No. 4
Hg2W | PBE | relaxed

Lattice parameters (Å, degrees): 4.869 4.869 5.852 90.00 90.00 120.00
Atoms (fractional coordinates):
Hg 0.000 0.000 0.000
Hg 0.000 0.000 0.500
Hg 0.333 0.667 0.250
Hg 0.667 0.333 0.750
W 0.333 0.667 0.750
W 0.667 0.333 0.250



No. 5
HgW2 | PBE | relaxed

Lattice parameters (Å, degrees): 2.874 2.874 14.810 90.00 90.00 120.00
Atoms (fractional coordinates):
Hg 0.000 0.000 0.169
Hg 0.000 0.000 0.831
W 0.000 0.000 0.500
W 0.667 0.333 0.000
W 0.667 0.333 0.340
W 0.667 0.333 0.660



No. 6
Hg2W | PBE | relaxed

Lattice parameters (Å, degrees): 4.631 4.631 4.631 60.00 60.00 60.00
Atoms (fractional coordinates):
Hg 0.250 0.250 0.250
Hg 0.750 0.750 0.750
W 0.000 0.000 0.000



No. 7
HgW3 | PBE | relaxed

Lattice parameters (Å, degrees): 4.066 4.066 4.066 90.00 90.00 90.00
Atoms (fractional coordinates):
Hg 0.000 0.000 0.000
W 0.000 0.500 0.500
W 0.500 0.000 0.500
W 0.500 0.500 0.000



No. 8
Hg2W | PBE | relaxed

Lattice parameters (Å, degrees): 3.176 3.176 14.532 90.00 90.00 120.00
Atoms (fractional coordinates):
Hg 0.333 0.667 0.091
Hg 0.333 0.667 0.728
Hg 0.667 0.333 0.272
Hg 0.667 0.333 0.909
W 0.333 0.667 0.440
W 0.667 0.333 0.560



| no. | ΔE to the lowest computed polymorph (eV/f.u.) | E (eV/f.u.) | formation enthalpy at 0 K (meV per atom) |
| --- | --- | --- | --- |
| 1 | 0.569 | -36.9 | 574 |
| 2 | 0.248 | -24.1 | 692 |
| 3 | 1.790 | -22.6 | 1206 |
| 4 | 2.690 | -9.7 | 1282 |
| 5 | 0.393 | -24.0 | 741 |
| 6 | 2.905 | -9.5 | 1354 |
| 7 | 0.774 | -36.7 | 625 |
| 8 | 0.000 | -12.4 | 386 |